Record 1
Ba2PaOsO8 | PBE-GGA | relaxed

Results
Energy relative to the elements, uncorrected = -2.42 eV/atom
Size of the total moment = 0.99 μB per formula unit
Calculated volume = 233 Å³/cell
N(E_F) = 0.193 states/eV/atom

abc: 6.4824 6.0555 6.6539
angles: 103.38 75.43 111.32
Closest atoms and distances in Å follow each position.
Atoms (fractional coordinates):
O 0.7114 0.7912 0.0134  1 Os 1.83
Pa 0.0000 0.0000 0.5000  2 O 1.99
O 0.0706 0.8009 0.1542  1 Os 1.98
O 0.3032 0.2486 0.4802  1 Pa 1.99
O 0.9294 0.1991 0.8458  1 Os 1.98
Ba 0.6600 0.3962 0.1883  7 O 2.64-2.89
Ba 0.3400 0.6038 0.8117  7 O 2.64-2.89
Os 0.0000 0.0000 0.0000  6 O 1.83-1.98
O 0.0898 0.8256 0.7250  1 Os 1.95
O 0.6968 0.7514 0.5198  1 Pa 1.99
O 0.2886 0.2088 0.9866  1 Os 1.83
O 0.9102 0.1744 0.2750  1 Os 1.95

Record 2
BaOsPb2O6 | PBE-GGA | relaxed

Results
Energy relative to the elements, uncorrected = -1.42 eV/atom
Size of the total moment = 2.02 μB per formula unit
Calculated volume = 333 Å³/cell
N(E_F) = 0.292 states/eV/atom

abc: 5.7286 6.7007 8.6859
angles: 90.00 89.55 90.00
Closest atoms and distances in Å follow each position.
Atoms (fractional coordinates):
O 0.7995 0.8522 0.5136  1 Os 1.99
O 0.6602 0.2221 0.5940  1 Os 1.93
O 0.7005 0.3522 0.9864  1 Os 1.99
O 0.2995 0.6478 0.0136  1 Os 1.99
Pb 0.4956 0.4590 0.2167  5 O 2.42-2.61
O 0.3398 0.7779 0.4060  1 Os 1.93
O 0.1029 0.4052 0.7972  1 Os 1.96
Pb 0.9956 0.0410 0.7167  5 O 2.42-2.61
Pb 0.0044 0.9590 0.2833  5 O 2.42-2.61
Ba 0.5000 0.0000 0.0000  6 O 2.63-2.81
Os 0.5000 0.0000 0.5000  6 O 1.93-1.99
O 0.2005 0.1478 0.4864  1 Os 1.99
O 0.3971 0.9052 0.7028  1 Os 1.96
O 0.8398 0.7221 0.9060  1 Os 1.93
O 0.6029 0.0948 0.2972  1 Os 1.96
Os 0.0000 0.5000 0.0000  6 O 1.93-1.99
Ba 0.0000 0.5000 0.5000  6 O 2.63-2.81
Pb 0.5044 0.5410 0.7833  5 O 2.42-2.61
O 0.8971 0.5948 0.2028  1 Os 1.96
O 0.1602 0.2779 0.0940  1 Os 1.93

Record 3
BaOsPb2O8 | PBE-GGA | relaxed

Results
Energy relative to the elements, uncorrected = -1.17 eV/atom
Size of the total moment = 0.00 μB per formula unit
Calculated volume = 195 Å³/cell
N(E_F) = 0.033 states/eV/atom

abc: 4.8108 5.6524 7.4390
angles: 75.49 84.95 86.01
Closest atoms and distances in Å follow each position.
Atoms (fractional coordinates):
O 0.4613 0.2643 0.4842  2 Pb 2.16-2.24
O 0.8050 0.1671 0.1531  1 Os 1.82
O 0.3142 0.1848 0.0063  1 Os 1.91
Pb 0.4536 0.4137 0.7363  4 O 2.16-2.29
Pb 0.5464 0.5863 0.2637  4 O 2.16-2.29
Ba 0.0000 0.0000 0.5000  8 O 2.74-2.90
O 0.0960 0.7386 0.2245  1 Os 2.00
O 0.6858 0.8152 0.9937  1 Os 1.91
O 0.9040 0.2614 0.7755  1 Os 2.00
O 0.1950 0.8329 0.8469  1 Os 1.82
O 0.5387 0.7357 0.5158  2 Pb 2.16-2.24
Os 0.0000 0.0000 0.0000  6 O 1.82-2.00

Record 4
Ba2OsPbO8 | PBE-GGA | relaxed

Results
Energy relative to the elements, uncorrected = -1.54 eV/atom
Size of the total moment = 0.00 μB per formula unit
Calculated volume = 228 Å³/cell

abc: 6.1197 5.9542 6.8626
angles: 101.07 77.13 109.53
Closest atoms and distances in Å follow each position.
Atoms (fractional coordinates):
Ba 0.6521 0.4074 0.1962  7 O 2.61-2.87
O 0.6947 0.7946 0.0197  1 Os 1.85
O 0.0789 0.7975 0.1371  1 Os 1.90
O 0.6907 0.7493 0.5120  1 Pb 1.98
O 0.3053 0.2054 0.9803  1 Os 1.85
O 0.9185 0.1720 0.2529  1 Os 1.89
Os 0.0000 0.0000 0.0000  6 O 1.85-1.90
Pb 0.0000 0.0000 0.5000  2 O 1.98
Ba 0.3479 0.5926 0.8038  7 O 2.61-2.87
O 0.9211 0.2025 0.8629  1 Os 1.90
O 0.3093 0.2507 0.4880  1 Pb 1.98
O 0.0815 0.8280 0.7471  1 Os 1.89

Record 5
Ba2OsPdO6 | PBE-GGA | relaxed

Results
Energy relative to the elements, uncorrected = -1.64 eV/atom
Size of the total moment = 1.71 μB per formula unit
Calculated volume = 154 Å³/cell
N(E_F) = 0.458 states/eV/atom

abc: 6.8201 6.2247 6.8256
angles: 47.88 47.65 71.82
Closest atoms and distances in Å follow each position.
Atoms (fractional coordinates):
Ba 0.2315 0.7439 0.4876  7 O 2.65-2.84
O 0.3237 0.3973 0.9266  1 Os 1.96
Os 0.5000 0.5000 0.0000  6 O 1.94-1.96
O 0.6939 0.1961 0.0009  1 Os 1.94, 1 Pd 2.06
O 0.3061 0.8039 0.9992  1 Os 1.94, 1 Pd 2.06
Ba 0.7685 0.2561 0.5124  7 O 2.65-2.84
O 0.1983 0.1932 0.4983  1 Os 1.94, 1 Pd 2.06
Pd 0.0000 0.0000 0.0000  4 O 2.06
O 0.6763 0.6027 0.0734  1 Os 1.96
O 0.8017 0.8068 0.5017  1 Os 1.94, 1 Pd 2.06

Record 6
BaOsPdO6 | PBE-GGA | relaxed

Results
Energy relative to the elements, uncorrected = -1.25 eV/atom
Size of the total moment = 0.00 μB per formula unit
Calculated volume = 142 Å³/cell
N(E_F) = 0.544 states/eV/atom

abc: 5.4056 5.4056 5.5962
angles: 90.01 89.99 59.99
Closest atoms and distances in Å follow each position.
Atoms (fractional coordinates):
O 0.5951 0.3869 0.6962  1 Os 1.92, 1 Pd 2.06
O 0.0180 0.5950 0.6962  1 Os 1.92, 1 Pd 2.06
Os 0.3334 0.3334 0.5000  6 O 1.92
O 0.5949 0.0180 0.3038  1 Os 1.92, 1 Pd 2.06
O 0.0179 0.3869 0.3038  1 Os 1.92, 1 Pd 2.06
Pd 0.6667 0.6667 0.5000  6 O 2.06
Ba 0.0000 0.0001 0.0000  6 O 2.73-2.74
O 0.3869 0.0179 0.6962  1 Os 1.92, 1 Pd 2.06
O 0.3869 0.5951 0.3038  1 Os 1.92, 1 Pd 2.06

Record 7
BaPmOs2O8 | PBE-GGA | relaxed

Results
Energy relative to the elements, uncorrected = -1.65 eV/atom
Size of the total moment = 3.01 μB per formula unit
Calculated volume = 240 Å³/cell
N(E_F) = 0.446 states/eV/atom

abc: 5.9912 5.9912 7.7175
angles: 90.00 90.00 120.00
Closest atoms and distances in Å follow each position.
Atoms (fractional coordinates):
Ba 0.0000 0.0000 0.0000  6 O 2.86
O 0.6685 0.8334 0.7034  1 Os 1.84
O 0.3315 0.1666 0.2966  1 Os 1.84
O 0.8334 0.1649 0.2966  1 Os 1.84
O 0.8351 0.6685 0.2966  1 Os 1.84
O 0.1649 0.3315 0.7034  1 Os 1.84
Pm 0.0000 0.0000 0.5000  6 O 2.33
Os 0.3333 0.6667 0.7820  4 O 1.80-1.84
O 0.6667 0.3333 0.9846  1 Os 1.80
O 0.1666 0.8351 0.7034  1 Os 1.84
Os 0.6667 0.3333 0.2180  4 O 1.80-1.84
O 0.3333 0.6667 0.0154  1 Os 1.80

Record 8
Ba2PmOsO6 | PBE-GGA | relaxed

Results
Energy relative to the elements, uncorrected = -2.39 eV/atom
Size of the total moment = 2.96 μB per formula unit
Calculated volume = 158 Å³/cell
N(E_F) = 0.242 states/eV/atom

abc: 6.0671 6.0671 6.0671
angles: 60.00 60.00 60.00
Closest atoms and distances in Å follow each position.
Atoms (fractional coordinates):
O 0.7684 0.2316 0.2316  1 Os 1.99
O 0.7684 0.7684 0.2316  1 Os 1.99
Pm 0.5000 0.5000 0.5000  6 O 2.30
Os 0.0000 0.0000 0.0000  6 O 1.99
O 0.7684 0.2316 0.7684  1 Os 1.99
O 0.2316 0.7684 0.2316  1 Os 1.99
O 0.2316 0.2316 0.7684  1 Os 1.99
Ba 0.2500 0.2500 0.2500  12 O 3.04
O 0.2316 0.7684 0.7684  1 Os 1.99
Ba 0.7500 0.7500 0.7500  12 O 3.04

Record 9
BaPmOsO6 | PBE-GGA | relaxed

Results
Energy relative to the elements, uncorrected = -2.08 eV/atom
Size of the total moment = 1.03 μB per formula unit
Calculated volume = 159 Å³/cell
N(E_F) = 0.601 states/eV/atom

abc: 5.7327 5.7327 5.5775
angles: 90.00 90.00 60.00
Closest atoms and distances in Å follow each position.
Atoms (fractional coordinates):
Ba 0.0000 0.0000 0.0000  6 O 2.74
O 0.6001 0.3467 0.6965  1 Os 1.91
O 0.0531 0.6003 0.6965  1 Os 1.91
O 0.0532 0.3466 0.3035  1 Os 1.91
O 0.6003 0.0531 0.3035  1 Os 1.91
O 0.3465 0.0532 0.6965  1 Os 1.91
O 0.3466 0.6002 0.3035  1 Os 1.91
Pm 0.6666 0.6667 0.5000  6 O 2.33
Os 0.3333 0.3333 0.5000  6 O 1.91

Record 10
BaPrOsO6 | PBE-GGA | relaxed

Results
Energy relative to the elements, uncorrected = -2.05 eV/atom
Size of the total moment = 1.03 μB per formula unit
Calculated volume = 161 Å³/cell
N(E_F) = 0.601 states/eV/atom

abc: 5.7956 5.7956 5.5428
angles: 90.00 90.00 59.99
Closest atoms and distances in Å follow each position.
Atoms (fractional coordinates):
Pr 0.6666 0.6667 0.5000  6 O 2.37
O 0.0576 0.3431 0.3023  1 Os 1.91
O 0.5992 0.3432 0.6977  1 Os 1.91
O 0.5993 0.0575 0.3023  1 Os 1.91
O 0.0575 0.5994 0.6976  1 Os 1.91
O 0.3431 0.0577 0.6977  1 Os 1.91
Os 0.3333 0.3333 0.5000  6 O 1.91
O 0.3432 0.5992 0.3022  1 Os 1.91
Ba 0.0000 0.0000 0.0000  6 O 2.75

Record 11
BaPrOs2O8 | PBE-GGA | relaxed

Results
Energy relative to the elements, uncorrected = -1.63 eV/atom
Size of the total moment = 3.01 μB per formula unit
Calculated volume = 244 Å³/cell
N(E_F) = 0.454 states/eV/atom

abc: 6.0128 6.0128 7.7872
angles: 90.00 90.00 120.00
Closest atoms and distances in Å follow each position.
Atoms (fractional coordinates):
O 0.1667 0.8333 0.7077  1 Os 1.84
O 0.1667 0.3335 0.7077  1 Os 1.84
O 0.6667 0.3333 0.9816  1 Os 1.80
O 0.3333 0.6667 0.0184  1 Os 1.80
Os 0.3333 0.6667 0.7873  4 O 1.80-1.84
O 0.8333 0.6665 0.2923  1 Os 1.84
Ba 0.0000 0.0000 0.0000  6 O 2.86
O 0.3335 0.1667 0.2923  1 Os 1.84
Pr 0.0000 0.0000 0.5000  6 O 2.37
O 0.6665 0.8333 0.7077  1 Os 1.84
Os 0.6667 0.3333 0.2127  4 O 1.80-1.84
O 0.8333 0.1667 0.2923  1 Os 1.84

Record 12
BaPuOsO6 | PBE-GGA | relaxed

Results
Energy relative to the elements, uncorrected = -2.09 eV/atom
Size of the total moment = 2.27 μB per formula unit
Calculated volume = 295 Å³/cell
N(E_F) = 0.998 states/eV/atom

abc: 7.6797 7.2616 7.4712
angles: 119.08 120.93 90.00
Closest atoms and distances in Å follow each position.
Atoms (fractional coordinates):
O 0.1653 0.9153 0.3307  2 Pu 2.12
O 0.5460 0.8765 0.7303  1 Os 1.99, 1 Pu 2.18
O 0.5460 0.3538 0.7303  1 Os 1.99, 1 Pu 2.18
Ba 0.1891 0.4391 0.3781  9 O 3.00-3.15
Pu 0.5000 0.0000 0.5000  6 O 2.12-2.18
O 0.4858 0.7358 0.9716  2 Os 1.82
Ba 0.8109 0.5609 0.6219  9 O 3.00-3.15
O 0.5142 0.2642 0.0284  2 Os 1.82
Os 0.5000 0.0000 0.0000  6 O 1.82-1.99
O 0.8347 0.0847 0.6693  2 Pu 2.12
O 0.8156 0.6462 0.2697  1 Os 1.99, 1 Pu 2.18
O 0.8156 0.1235 0.2697  1 Os 1.99, 1 Pu 2.18
O 0.4540 0.6462 0.2697  1 Os 1.99, 1 Pu 2.18
O 0.1844 0.8765 0.7303  1 Os 1.99, 1 Pu 2.18
O 0.1844 0.3538 0.7303  1 Os 1.99, 1 Pu 2.18
Pu 0.0000 0.0000 0.5000  6 O 2.12-2.18
O 0.4540 0.1235 0.2697  1 Os 1.99, 1 Pu 2.18
Os 0.5000 0.5000 0.0000  6 O 1.82-1.99